[1]
Entry from Alexandria: In2HgH2 after structural relaxation (PBE-GGA).

Output
Calculated total energy, eV/cell: -12.06

abc: 5.020 5.044 5.042
angles: 59.75 60.14 60.15
Atoms (fractional coordinates):
In (0.247, 0.255, 0.251)
In (0.753, 0.745, 0.749)
Hg (0.000, 0.000, 0.000)
H (0.514, 0.412, 0.559)
H (0.486, 0.588, 0.441)


[2]
Entry from Alexandria: InHg2H after structural relaxation (PBE-GGA).

Output
Calculated total energy, eV/cell: -12.11

abc: 3.180 15.730 3.735
angles: 103.44 90.00 95.80
Atoms (fractional coordinates):
In (0.377, 0.754, 0.508)
In (0.623, 0.246, 0.492)
Hg (0.785, 0.569, 0.321)
Hg (0.215, 0.431, 0.679)
Hg (0.962, 0.924, 0.674)
Hg (0.038, 0.076, 0.326)
H (0.361, 0.721, 0.976)
H (0.639, 0.279, 0.024)


[3]
Entry from Alexandria: InHgH4 after structural relaxation (PBE-GGA).

Output
Calculated total energy, eV/cell: -28.33

abc: 5.672 9.487 6.710
angles: 45.01 56.22 38.15
Atoms (fractional coordinates):
In (0.750, 0.871, 0.257)
In (0.250, 0.129, 0.743)
Hg (0.750, 0.397, 0.206)
Hg (0.250, 0.603, 0.794)
H (0.411, 0.329, 0.468)
H (0.900, 0.804, 0.969)
H (0.911, 0.797, 0.532)
H (0.400, 0.773, 0.031)
H (0.589, 0.671, 0.532)
H (0.089, 0.203, 0.468)
H (0.100, 0.196, 0.031)
H (0.600, 0.227, 0.969)


[4]
Entry from Alexandria: In3Hg12H5 after structural relaxation (PBE-GGA).

Output
Calculated total energy, eV/cell: -89.21

abc: 13.085 13.085 13.085
angles: 109.47 109.47 109.47
Atoms (fractional coordinates):
In (0.750, 0.375, 0.125)
In (0.875, 0.750, 0.125)
In (0.375, 0.750, 0.625)
In (0.250, 0.125, 0.375)
In (0.875, 0.125, 0.250)
In (0.375, 0.625, 0.250)
In (0.625, 0.375, 0.750)
In (0.125, 0.875, 0.750)
In (0.750, 0.875, 0.625)
In (0.625, 0.250, 0.375)
In (0.125, 0.250, 0.875)
In (0.250, 0.625, 0.875)
H (0.125, 0.375, 0.250)
H (0.000, 0.500, 0.000)
H (0.000, 0.000, 0.000)
H (0.375, 0.250, 0.125)
H (0.500, 0.000, 0.500)
H (0.500, 0.500, 0.000)
H (0.125, 0.750, 0.375)
H (0.750, 0.125, 0.875)
H (0.750, 0.625, 0.375)
H (0.375, 0.125, 0.750)
H (0.625, 0.875, 0.250)
H (0.500, 0.500, 0.500)
H (0.500, 0.000, 0.000)
H (0.000, 0.000, 0.500)
H (0.250, 0.375, 0.625)
H (0.250, 0.875, 0.125)
H (0.000, 0.500, 0.500)
H (0.875, 0.250, 0.625)
H (0.625, 0.750, 0.875)
H (0.875, 0.625, 0.750)
Hg (0.699, 0.100, 0.010)
Hg (0.311, 0.510, 0.410)
Hg (0.990, 0.400, 0.301)
Hg (0.510, 0.199, 0.100)
Hg (0.599, 0.699, 0.689)
Hg (0.990, 0.590, 0.189)
Hg (0.311, 0.801, 0.401)
Hg (0.090, 0.901, 0.100)
Hg (0.590, 0.990, 0.689)
Hg (0.699, 0.599, 0.189)
Hg (0.801, 0.490, 0.400)
Hg (0.811, 0.910, 0.010)
Hg (0.100, 0.699, 0.510)
Hg (0.400, 0.410, 0.099)
Hg (0.099, 0.910, 0.400)
Hg (0.401, 0.100, 0.590)
Hg (0.099, 0.189, 0.199)
Hg (0.490, 0.689, 0.090)
Hg (0.811, 0.901, 0.301)
Hg (0.100, 0.401, 0.090)
Hg (0.400, 0.990, 0.801)
Hg (0.590, 0.600, 0.401)
Hg (0.910, 0.811, 0.510)
Hg (0.801, 0.311, 0.901)
Hg (0.410, 0.400, 0.599)
Hg (0.090, 0.189, 0.490)
Hg (0.199, 0.689, 0.099)
Hg (0.189, 0.099, 0.699)
Hg (0.600, 0.010, 0.199)
Hg (0.900, 0.599, 0.910)
Hg (0.510, 0.311, 0.910)
Hg (0.599, 0.900, 0.410)
Hg (0.901, 0.811, 0.801)
Hg (0.901, 0.090, 0.600)
Hg (0.900, 0.301, 0.490)
Hg (0.189, 0.090, 0.990)
Hg (0.600, 0.590, 0.901)
Hg (0.410, 0.010, 0.311)
Hg (0.301, 0.401, 0.811)
Hg (0.199, 0.510, 0.600)
Hg (0.910, 0.099, 0.900)
Hg (0.689, 0.199, 0.599)
Hg (0.490, 0.801, 0.900)
Hg (0.010, 0.410, 0.811)
Hg (0.401, 0.301, 0.311)
Hg (0.010, 0.600, 0.699)
Hg (0.689, 0.490, 0.590)
Hg (0.301, 0.900, 0.990)


[5]
Entry from Alexandria: In2Hg5H2 after structural relaxation (PBE-GGA).

Output
Calculated total energy, eV/cell: -13.20

abc: 4.246 5.626 11.101
angles: 76.43 111.65 87.79
Atoms (fractional coordinates):
In (0.712, 0.893, 0.214)
In (0.288, 0.107, 0.786)
Hg (0.179, 0.658, 0.683)
Hg (0.821, 0.342, 0.317)
Hg (0.438, 0.780, 0.440)
Hg (0.562, 0.220, 0.560)
Hg (0.000, 0.000, 0.000)
H (0.441, 0.505, 0.964)
H (0.559, 0.495, 0.036)


[6]
Entry from Alexandria: In3Hg3H after structural relaxation (PBE-GGA).

Output
Calculated total energy, eV/cell: -23.58

abc: 6.341 8.902 14.090
angles: 37.87 100.49 73.43
Atoms (fractional coordinates):
In (0.342, 0.656, 0.254)
In (0.118, 0.265, 0.304)
In (0.518, 0.934, 0.295)
In (0.482, 0.066, 0.705)
In (0.882, 0.735, 0.696)
In (0.658, 0.344, 0.746)
Hg (0.451, 0.620, 0.794)
Hg (0.993, 0.058, 0.709)
Hg (0.197, 0.272, 0.781)
Hg (0.803, 0.728, 0.219)
Hg (0.007, 0.942, 0.291)
Hg (0.549, 0.380, 0.206)
H (0.868, 0.655, 0.999)
H (0.132, 0.345, 0.001)


[7]
Entry from Alexandria: InHg2H after structural relaxation (PBE-GGA).

Output
Calculated total energy, eV/cell: -5.91

abc: 3.140 5.439 5.884
angles: 62.42 74.99 90.06
Atoms (fractional coordinates):
In (0.788, 0.088, 0.707)
Hg (0.432, 0.783, 0.316)
Hg (0.086, 0.480, 0.924)
H (0.942, 0.286, 0.309)


[8]
Entry from Alexandria: In2HgH after structural relaxation (PBE-GGA).

Output
Calculated total energy, eV/cell: -8.20

abc: 3.542 3.542 8.108
angles: 77.38 77.38 60.00
Atoms (fractional coordinates):
H (0.000, 0.000, 0.000)
Hg (0.500, 0.500, 0.500)
In (0.274, 0.274, 0.179)
In (0.726, 0.726, 0.821)


Which of these has the lowest calculated total energy?
In3Hg12H5


The lowest calculated total energy belongs to which entry?
In3Hg12H5


Please write out number 3 again, unchanged.
Entry from Alexandria: InHgH4 after structural relaxation (PBE-GGA).

Output
Calculated total energy, eV/cell: -28.33

abc: 5.672 9.487 6.710
angles: 45.01 56.22 38.15
Atoms (fractional coordinates):
In (0.750, 0.871, 0.257)
In (0.250, 0.129, 0.743)
Hg (0.750, 0.397, 0.206)
Hg (0.250, 0.603, 0.794)
H (0.411, 0.329, 0.468)
H (0.900, 0.804, 0.969)
H (0.911, 0.797, 0.532)
H (0.400, 0.773, 0.031)
H (0.589, 0.671, 0.532)
H (0.089, 0.203, 0.468)
H (0.100, 0.196, 0.031)
H (0.600, 0.227, 0.969)


Number 2 is which compound?
InHg2H